(1)
Compound: Ga2GeMo2
Source: Alexandria
Functional: PBE-GGA
Structure: optimized geometry

```
data_Ga2GeMo2
_chemical_formula_sum 'Ga4 Ge2 Mo4'
_symmetry_space_group_name_H-M 'P 1'
_symmetry_Int_Tables_number 1
_cell_length_a 6.6678
_cell_length_b 6.6678
_cell_length_c 3.7047
_cell_angle_alpha 90.00
_cell_angle_beta 90.00
_cell_angle_gamma 90.00
loop_
_symmetry_equiv_pos_as_xyz
'x,y,z'
loop_
_atom_site_label
_atom_site_fract_x
_atom_site_fract_y
_atom_site_fract_z
Mo1 0.6560 0.1560 0.0000
Mo2 0.3440 0.8440 0.0000
Ga1 0.1442 0.6442 0.5000
Mo3 0.1560 0.3440 0.0000
Mo4 0.8440 0.6560 0.0000
Ga2 0.8558 0.3558 0.5000
Ga3 0.6442 0.8558 0.5000
Ga4 0.3558 0.1442 0.5000
Ge1 0.0000 0.0000 0.0000
Ge2 0.5000 0.5000 0.0000
```

Output
The calculation puts the theoretical density at 8.15 g cm⁻³.

=====

(2)
Compound: Ga2GeMo2
Source: Alexandria
Functional: PBE-GGA
Structure: optimized geometry

```
data_Ga2GeMo2
_chemical_formula_sum 'Ga4 Ge2 Mo4'
_symmetry_space_group_name_H-M 'P 1'
_symmetry_Int_Tables_number 1
_cell_length_a 6.6807
_cell_length_b 6.6807
_cell_length_c 3.5323
_cell_angle_alpha 90.00
_cell_angle_beta 90.00
_cell_angle_gamma 90.00
loop_
_symmetry_equiv_pos_as_xyz
'x,y,z'
loop_
_atom_site_label
_atom_site_fract_x
_atom_site_fract_y
_atom_site_fract_z
Mo1 0.1737 0.6737 0.5000
Ge1 0.0000 0.0000 0.0000
Ga1 0.3709 0.8709 0.0000
Ge2 0.5000 0.5000 0.0000
Ga2 0.8709 0.6291 0.0000
Ga3 0.6291 0.1291 0.0000
Mo2 0.3263 0.1737 0.5000
Ga4 0.1291 0.3709 0.0000
Mo3 0.8263 0.3263 0.5000
Mo4 0.6737 0.8263 0.5000
```

Output
The calculation puts the theoretical density at 8.51 g cm⁻³.

=====

Energies in meV per atom, measured from the most stable structure: (1) 0; (2) 250.

=====

(1)
Compound: GaGeMo
Source: Alexandria
Functional: PBE-GGA
Structure: optimized geometry

```
data_GaGeMo
_chemical_formula_sum 'Ga2 Ge2 Mo2'
_symmetry_space_group_name_H-M 'P 1'
_symmetry_Int_Tables_number 1
_cell_length_a 4.6568
_cell_length_b 5.0528
_cell_length_c 4.8928
_cell_angle_alpha 94.61
_cell_angle_beta 90.00
_cell_angle_gamma 117.44
loop_
_symmetry_equiv_pos_as_xyz
'x,y,z'
loop_
_atom_site_label
_atom_site_fract_x
_atom_site_fract_y
_atom_site_fract_z
Ga1 0.0485 0.0970 0.8786
Mo1 0.4332 0.8664 0.6530
Ge1 0.9058 0.8115 0.3822
Mo2 0.7325 0.4651 0.8239
Ge2 0.3129 0.6257 0.1089
Ga2 0.6152 0.2304 0.2825
```

Output
The calculation puts the theoretical density at 7.78 g cm⁻³.

=====

(2)
Compound: GaGeMo
Source: Alexandria
Functional: PBE-GGA
Structure: optimized geometry

```
data_GaGeMo
_chemical_formula_sum 'Ga1 Ge1 Mo1'
_symmetry_space_group_name_H-M 'P 1'
_symmetry_Int_Tables_number 1
_cell_length_a 2.7936
_cell_length_b 4.4945
_cell_length_c 4.4945
_cell_angle_alpha 120.00
_cell_angle_beta 90.00
_cell_angle_gamma 90.00
loop_
_symmetry_equiv_pos_as_xyz
'x,y,z'
loop_
_atom_site_label
_atom_site_fract_x
_atom_site_fract_y
_atom_site_fract_z
Ga1 0.6843 0.6667 0.3333
Mo1 0.1853 0.3333 0.6667
Ge1 0.1304 0.0000 0.0000
```

Output
The calculation puts the theoretical density at 8.10 g cm⁻³.

=====

Energies in meV per atom, measured from the most stable structure: (1) 0; (2) 136.

=====

(1)
Compound: GaGeMo
Source: Alexandria
Functional: PBE-GGA
Structure: optimized geometry

```
data_GaGeMo
_chemical_formula_sum 'Ga2 Ge2 Mo2'
_symmetry_space_group_name_H-M 'P 1'
_symmetry_Int_Tables_number 1
_cell_length_a 4.9087
_cell_length_b 4.9121
_cell_length_c 5.0613
_cell_angle_alpha 75.98
_cell_angle_beta 60.99
_cell_angle_gamma 60.02
loop_
_symmetry_equiv_pos_as_xyz
'x,y,z'
loop_
_atom_site_label
_atom_site_fract_x
_atom_site_fract_y
_atom_site_fract_z
Mo1 0.5670 0.8660 0.5000
Ge1 0.9804 0.0392 0.0000
Ga1 0.6520 0.6961 0.0000
Ga2 0.9020 0.1961 0.5000
Ge2 0.2304 0.5392 0.5000
Mo2 0.3170 0.3660 0.0000
```

Output
The calculation puts the theoretical density at 8.56 g cm⁻³.

=====

(2)
Compound: GaGeMo
Source: Alexandria
Functional: PBE-GGA
Structure: optimized geometry

```
data_GaGeMo
_chemical_formula_sum 'Ga2 Ge2 Mo2'
_symmetry_space_group_name_H-M 'P 1'
_symmetry_Int_Tables_number 1
_cell_length_a 3.3122
_cell_length_b 4.9899
_cell_length_c 6.5978
_cell_angle_alpha 71.22
_cell_angle_beta 90.31
_cell_angle_gamma 70.94
loop_
_symmetry_equiv_pos_as_xyz
'x,y,z'
loop_
_atom_site_label
_atom_site_fract_x
_atom_site_fract_y
_atom_site_fract_z
Mo1 0.6112 0.0685 0.1532
Mo2 0.9833 0.3246 0.4424
Ge1 0.9514 0.3907 0.8488
Ge2 0.6430 0.0025 0.7467
Ga1 0.2693 0.7561 0.4788
Ga2 0.3252 0.6370 0.1168
```

Output
The calculation puts the theoretical density at 8.17 g cm⁻³.

=====

Energies in meV per atom, measured from the most stable structure: (1) 0; (2) 130.

=====

(1)
Compound: Ga3GeMo
Source: Alexandria
Functional: PBE-GGA
Structure: optimized geometry

```
data_Ga3GeMo
_chemical_formula_sum 'Ga3 Ge1 Mo1'
_symmetry_space_group_name_H-M 'P 1'
_symmetry_Int_Tables_number 1
_cell_length_a 4.8944
_cell_length_b 4.8944
_cell_length_c 4.8944
_cell_angle_alpha 90.00
_cell_angle_beta 90.00
_cell_angle_gamma 90.00
loop_
_symmetry_equiv_pos_as_xyz
'x,y,z'
loop_
_atom_site_label
_atom_site_fract_x
_atom_site_fract_y
_atom_site_fract_z
Mo1 0.0000 0.0000 0.0000
Ga1 0.0000 0.5000 0.0000
Ga2 0.0000 0.0000 0.5000
Ge1 0.5000 0.5000 0.5000
Ga3 0.5000 0.0000 0.0000
```

Output
The calculation puts the theoretical density at 5.35 g cm⁻³.

=====

(2)
Compound: Ga3GeMo
Source: Alexandria
Functional: PBE-GGA
Structure: optimized geometry

```
data_Ga3GeMo
_chemical_formula_sum 'Ga3 Ge1 Mo1'
_symmetry_space_group_name_H-M 'P 1'
_symmetry_Int_Tables_number 1
_cell_length_a 4.8753
_cell_length_b 4.8753
_cell_length_c 4.8753
_cell_angle_alpha 90.00
_cell_angle_beta 90.00
_cell_angle_gamma 90.00
loop_
_symmetry_equiv_pos_as_xyz
'x,y,z'
loop_
_atom_site_label
_atom_site_fract_x
_atom_site_fract_y
_atom_site_fract_z
Ga1 0.5000 0.0000 0.0000
Ga2 0.0000 0.5000 0.0000
Ga3 0.0000 0.0000 0.5000
Ge1 0.0000 0.0000 0.0000
Mo1 0.5000 0.5000 0.5000
```

Output
The calculation puts the theoretical density at 5.41 g cm⁻³.

=====

Energies in meV per atom, measured from the most stable structure: (1) 0; (2) 495.

=====

(1)
Compound: GaGe3N
Source: Alexandria
Functional: PBE-GGA
Structure: optimized geometry

```
data_GaGe3N
_chemical_formula_sum 'Ga1 Ge3 N1'
_symmetry_space_group_name_H-M 'P 1'
_symmetry_Int_Tables_number 1
_cell_length_a 4.4077
_cell_length_b 4.4077
_cell_length_c 4.4077
_cell_angle_alpha 90.00
_cell_angle_beta 90.00
_cell_angle_gamma 90.00
loop_
_symmetry_equiv_pos_as_xyz
'x,y,z'
loop_
_atom_site_label
_atom_site_fract_x
_atom_site_fract_y
_atom_site_fract_z
N1 0.0000 0.0000 0.0000
Ge1 0.5000 0.0000 0.0000
Ge2 0.0000 0.0000 0.5000
Ge3 0.0000 0.5000 0.0000
Ga1 0.5000 0.5000 0.5000
```

Output
The calculation puts the theoretical density at 5.85 g cm⁻³.

=====

(2)
Compound: GaGe3N
Source: Alexandria
Functional: PBE-GGA
Structure: optimized geometry

```
data_GaGe3N
_chemical_formula_sum 'Ga1 Ge3 N1'
_symmetry_space_group_name_H-M 'P 1'
_symmetry_Int_Tables_number 1
_cell_length_a 4.8251
_cell_length_b 4.8251
_cell_length_c 4.8251
_cell_angle_alpha 90.00
_cell_angle_beta 90.00
_cell_angle_gamma 90.00
loop_
_symmetry_equiv_pos_as_xyz
'x,y,z'
loop_
_atom_site_label
_atom_site_fract_x
_atom_site_fract_y
_atom_site_fract_z
Ge1 0.5000 0.0000 0.0000
Ge2 0.0000 0.5000 0.0000
Ge3 0.0000 0.0000 0.5000
Ga1 0.0000 0.0000 0.0000
N1 0.5000 0.5000 0.5000
```

Output
The calculation puts the theoretical density at 4.46 g cm⁻³.

=====

Energies in meV per atom, measured from the most stable structure: (1) 0; (2) 1015.

=====

(1)
Compound: GaGe2N
Source: Alexandria
Functional: PBE-GGA
Structure: optimized geometry

```
data_GaGe2N
_chemical_formula_sum 'Ga1 Ge2 N1'
_symmetry_space_group_name_H-M 'P 1'
_symmetry_Int_Tables_number 1
_cell_length_a 4.4528
_cell_length_b 4.4528
_cell_length_c 4.4528
_cell_angle_alpha 60.00
_cell_angle_beta 60.00
_cell_angle_gamma 60.00
loop_
_symmetry_equiv_pos_as_xyz
'x,y,z'
loop_
_atom_site_label
_atom_site_fract_x
_atom_site_fract_y
_atom_site_fract_z
Ge1 0.2500 0.2500 0.2500
N1 0.0000 0.0000 0.0000
Ga1 0.5000 0.5000 0.5000
Ge2 0.7500 0.7500 0.7500
```

Output
The calculation puts the theoretical density at 6.09 g cm⁻³.

=====

(2)
Compound: GaGe2N
Source: Alexandria
Functional: PBE-GGA
Structure: optimized geometry

```
data_GaGe2N
_chemical_formula_sum 'Ga2 Ge4 N2'
_symmetry_space_group_name_H-M 'P 1'
_symmetry_Int_Tables_number 1
_cell_length_a 5.2567
_cell_length_b 5.2567
_cell_length_c 6.2648
_cell_angle_alpha 65.19
_cell_angle_beta 65.19
_cell_angle_gamma 90.00
loop_
_symmetry_equiv_pos_as_xyz
'x,y,z'
loop_
_atom_site_label
_atom_site_fract_x
_atom_site_fract_y
_atom_site_fract_z
Ga1 0.0000 0.0000 0.0000
Ga2 0.7500 0.2500 0.5000
Ge1 0.1883 0.6250 0.2500
Ge2 0.5617 0.1250 0.2500
Ge3 0.3750 0.4383 0.7500
N1 0.5000 0.5000 0.0000
N2 0.2500 0.7500 0.5000
Ge4 0.8750 0.8117 0.7500
```

Output
The calculation puts the theoretical density at 5.46 g cm⁻³.

=====

Energies in meV per atom, measured from the most stable structure: (1) 812; (2) 0.